This record from the Alexandria database describes a relaxed structure of Rb4Dy3MnO8. The functional is PBE with a Hubbard U.

The structure belongs to space group C2/m (No. 12); the cell edges are 12.192, 6.778 and 7.617 Å and the angles 90.00°, 120.74° and 90.00°. The asymmetric unit holds Rb at (0.000, 0.000, 0.000), Rb at (0.000, 0.500, 0.000), Rb at (0.250, 0.250, 0.000), Dy at (0.000, 0.000, 0.500), Dy at (0.250, 0.250, 0.500), Mn at (0.000, 0.500, 0.500), O at (0.024, 0.277, 0.340), O at (0.220, 0.000, 0.675) and O at (0.250, 0.000, 0.302).

As for the raw total energy: -6.395 eV per atom. The total magnetization comes out at 3.9 μB per formula unit.